No. 1
{"formula": "KTlSi2", "functional": "PBE-GGA", "state": "optimized geometry", "lattice_angstrom": [[3.896, 0.000, 0.000], [0.000, 3.876, 0.000], [0.000, 0.000, 7.207]], "species": ["Si", "K", "Si", "Tl"], "fractional_positions": [[0.000, 0.000, 0.086], [0.500, 0.500, 0.750], [0.000, 0.000, 0.414], [0.500, 0.500, 0.250]], "total_magnetization_mub_per_cell": 0.00, "dft_energy_ev_per_atom": -3.25, "e_form_raw_mev_per_atom": 330}

=====

No. 2
{"formula": "Na3SrB5O10", "functional": "PBE-GGA", "state": "optimized geometry", "lattice_angstrom": [[7.342, -0.002, 0.000], [-3.609, 6.795, -0.001], [-3.203, -0.068, 9.291]], "species": ["O", "O", "B", "B", "O", "O", "Na", "O", "O", "Na", "O", "Sr", "O", "O", "O", "B", "B", "O", "O", "O", "O", "B", "B", "O", "O", "Sr", "O", "O", "Na", "B", "O", "B", "Na", "Na", "Na", "O", "B", "B"], "fractional_positions": [[0.156, 0.347, 0.559], [0.231, 0.529, 0.935], [0.162, 0.250, 0.452], [0.512, 0.773, 0.378], [0.973, 0.777, 0.682], [0.500, 0.850, 0.896], [0.792, 0.281, 0.452], [0.500, 0.150, 0.104], [0.016, 0.204, 0.000], [0.844, 0.499, 0.835], [0.342, 0.807, 0.356], [0.216, 0.053, 0.224], [0.600, 0.415, 0.252], [0.320, 0.180, 0.489], [0.467, 0.314, 0.728], [0.298, 0.373, 0.710], [0.488, 0.227, 0.622], [0.769, 0.471, 0.065], [0.835, 0.751, 0.193], [0.658, 0.193, 0.644], [0.533, 0.686, 0.272], [0.838, 0.750, 0.548], [0.863, 0.678, 0.083], [0.680, 0.820, 0.511], [0.400, 0.585, 0.748], [0.784, 0.947, 0.776], [0.984, 0.796, 0.000], [0.844, 0.653, 0.441], [0.721, 0.013, 0.115], [0.618, 0.340, 0.138], [0.165, 0.249, 0.807], [0.702, 0.627, 0.290], [0.208, 0.719, 0.548], [0.279, 0.987, 0.885], [0.156, 0.501, 0.165], [0.027, 0.223, 0.318], [0.137, 0.322, 0.917], [0.382, 0.660, 0.862]], "total_magnetization_mub_per_cell": 0.00, "dft_energy_ev_per_atom": -7.11, "e_form_raw_mev_per_atom": -2442}

=====

No. 3
{"formula": "FeReAu2", "functional": "PBE-GGA", "state": "optimized geometry", "lattice_angstrom": [[-1.909, -0.300, 4.407], [0.760, -0.771, 4.688], [0.701, 4.810, 1.390]], "species": ["Re", "Fe", "Au", "Au"], "fractional_positions": [[0.246, 0.246, 0.264], [0.502, 0.502, 0.484], [0.755, 0.755, 0.742], [0.997, 0.997, 0.010]], "ef_mev_per_atom": 408, "total_magnetization_mub_per_cell": 2.65, "dft_energy_ev_per_atom": -6.46}

=====

No. 4
{"formula": "MnS2Cl4", "functional": "PBE-GGA", "state": "optimized geometry", "lattice_angstrom": [[-2.856, 1.431, 1.200], [-8.580, -14.312, -0.445], [-3.258, -5.710, 3.703]], "species": ["Mn", "S", "Cl", "Cl", "S", "Cl", "Cl"], "fractional_positions": [[0.000, 0.000, 0.000], [0.826, 0.720, 0.492], [0.574, 0.055, 0.664], [0.426, 0.945, 0.336], [0.174, 0.280, 0.508], [0.048, 0.322, 0.691], [0.952, 0.678, 0.309]], "total_magnetization_mub_per_cell": 3.26, "dft_energy_ev_per_atom": -3.92, "e_form_raw_mev_per_atom": -380}